Below is a geometry-optimized Mn2OsAu structure, with properties calculated at the PBE level.

Cell: 2.7362 3.7865 5.6005 Å, 90.00 90.00 90.00°
Last column: nearest neighbours and their distance in Å.
Positions (direct):
Mn: 0.0000 0.0000 0.0000  1 Os 2.51, 6 Mn 2.72-2.74, 4 Au 2.74
Mn: 0.5000 0.5000 0.2488  4 Os 2.59, 6 Mn 2.72-2.74, 2 Au 2.78-2.82
Os: 0.0000 0.0000 0.4490  5 Mn 2.51-2.59, 2 Os 2.74
Au: 0.5000 0.5000 0.7449  2 Au 2.74, 6 Mn 2.74-2.82, 4 Os 2.86

Calculated values
Its calculated formation energy is 0.22 eV/atom. Its total energy is -31.96 eV/cell. The value obtained for the total magnetic moment is 1.437 μB per formula unit. The calculation puts the volume at 14.5 Å³ per atom.

Below is a geometry-optimized Mn2OsAu structure, with properties calculated at the PBE level.

Cell: 4.5727 4.5727 4.7595 Å, 99.95 99.95 34.90°
Last column: nearest neighbours and their distance in Å.
Positions (direct):
Mn: 0.2439 0.2439 0.1976  2 Mn 2.35, 3 Os 2.56-2.58
Mn: 0.7561 0.7561 0.8024  2 Mn 2.35, 3 Os 2.56-2.58
Os: 0.5000 0.5000 0.0000  6 Mn 2.56-2.58, 2 Os 2.74, 4 Au 2.75
Au: 0.0000 0.0000 0.5000  2 Au 2.74, 4 Os 2.75, 6 Mn 2.78-2.79

Calculated values
Its calculated formation energy is 0.39 eV/atom. Its total energy is -31.29 eV/cell. The value obtained for the total magnetic moment is 1.853 μB per formula unit. The calculation puts the volume at 14.0 Å³ per atom.

Below is a geometry-optimized Mn2OsAu structure, with properties calculated at the PBE level.

Cell: 8.9319 8.9319 8.9319 Å, 17.76 17.76 17.76°
Last column: nearest neighbours and their distance in Å.
Positions (direct):
Mn: 0.0000 0.0000 0.0000  3 Os 2.51, 9 Mn 2.57-2.76
Mn: 0.2566 0.2566 0.2566  9 Mn 2.57-2.76, 3 Au 2.79
Os: 0.7401 0.7401 0.7401  3 Mn 2.51, 6 Os 2.76
Au: 0.5028 0.5028 0.5028  6 Au 2.76, 3 Mn 2.79, 3 Os 2.99

Calculated values
Its calculated formation energy is 0.28 eV/atom. Its total energy is -31.71 eV/cell. The value obtained for the total magnetic moment is 4.631 μB per formula unit. The calculation puts the volume at 14.5 Å³ per atom.